PmZrSn2 | PBE-GGA | optimized geometry

- V: 100.3 Å³ per cell
- Density of states at the Fermi level: 0.658 states/eV per atom
- ΔE_f: -0.47 eV per atom
- Energy: -0.213 hartree per atom

Unit cell a=4.740 b=4.740 c=4.466 alpha=90.00 beta=90.00 gamma=90.00
Space group P4/mmm (No. 123)
Symmetry-distinct sites (fractional):
Pm1 0.000 0.000 0.000 (multiplicity 1)
Zr1 0.500 0.500 0.000 (multiplicity 1)
Sn1 0.000 0.500 0.500 (multiplicity 2)